First-principles (GGA-PBE) data for an optimized crystal structure of Ti3Tl3P5O20, as listed in Alexandria via LeMat-Bulk.

Values from the calculation:
The uncorrected formation energy is -225 kJ/mol of atoms. For the total energy, the calculation gives -229.2 eV per formula unit. The density of states at the Fermi level comes out at 0.00 states/eV per atom.

abc: 6.399 14.970 18.557
angles: 90.00 90.00 90.00
Positions (direct):
Ti  0.255  0.877  0.456
P  0.247  0.406  0.490
O  0.245  0.010  0.484
O  0.943  0.883  0.461
O  0.558  0.383  0.035
P  0.747  0.751  0.103
O  0.248  0.340  0.940
P  0.253  0.751  0.603
Tl  0.855  0.027  0.351
Ti  0.746  0.139  0.552
O  0.749  0.260  0.569
O  0.442  0.133  0.548
O  0.751  0.667  0.054
Tl  0.855  0.976  0.154
O  0.057  0.383  0.539
O  0.057  0.633  0.949
O  0.253  0.412  0.148
Tl  0.145  0.476  0.846
O  0.747  0.912  0.852
O  0.749  0.760  0.931
Tl  0.145  0.527  0.649
P  0.643  0.092  0.727
Ti  0.751  0.248  0.853
O  0.756  0.642  0.712
O  0.442  0.383  0.535
O  0.593  0.896  0.279
O  0.756  0.142  0.788
Ti  0.255  0.377  0.044
O  0.936  0.249  0.345
P  0.357  0.092  0.227
O  0.558  0.883  0.465
O  0.247  0.826  0.235
Ti  0.751  0.748  0.647
P  0.747  0.251  0.397
Tl  0.827  0.249  0.181
Tl  0.145  0.027  0.851
Ti  0.254  0.139  0.052
O  0.247  0.326  0.265
P  0.642  0.401  0.722
O  0.245  0.510  0.016
P  0.643  0.592  0.773
O  0.442  0.883  0.965
O  0.253  0.912  0.352
Tl  0.145  0.976  0.654
O  0.282  0.989  0.234
O  0.249  0.617  0.345
P  0.753  0.109  0.002
O  0.592  0.599  0.273
Tl  0.855  0.527  0.149
O  0.943  0.633  0.449
O  0.057  0.883  0.961
O  0.751  0.167  0.446
O  0.064  0.249  0.845
P  0.753  0.406  0.990
O  0.282  0.489  0.266
O  0.943  0.133  0.051
Ti  0.745  0.377  0.544
O  0.057  0.133  0.551
O  0.592  0.099  0.227
O  0.760  0.166  0.933
O  0.249  0.167  0.946
Ti  0.745  0.877  0.956
O  0.761  0.851  0.581
O  0.753  0.326  0.765
O  0.244  0.642  0.212
P  0.753  0.609  0.498
P  0.247  0.109  0.502
O  0.251  0.260  0.069
O  0.248  0.840  0.560
O  0.936  0.749  0.155
P  0.753  0.906  0.510
O  0.753  0.826  0.735
O  0.240  0.166  0.433
O  0.251  0.760  0.431
O  0.718  0.489  0.766
Ti  0.249  0.748  0.147
O  0.442  0.633  0.952
O  0.755  0.510  0.516
Tl  0.173  0.749  0.819
O  0.593  0.396  0.221
O  0.407  0.896  0.779
Tl  0.855  0.476  0.346
P  0.358  0.401  0.222
Tl  0.827  0.749  0.319
O  0.408  0.099  0.727
O  0.752  0.840  0.060
O  0.064  0.749  0.655
O  0.249  0.117  0.155
Ti  0.746  0.639  0.948
O  0.755  0.010  0.984
Ti  0.249  0.248  0.353
O  0.943  0.383  0.039
O  0.451  0.750  0.650
P  0.357  0.592  0.273
O  0.747  0.412  0.648
O  0.244  0.142  0.288
O  0.755  0.006  0.529
O  0.249  0.667  0.554
Tl  0.173  0.249  0.681
O  0.761  0.351  0.919
O  0.751  0.617  0.845
O  0.549  0.250  0.350
O  0.240  0.666  0.067
O  0.451  0.250  0.850
O  0.755  0.506  0.971
O  0.751  0.117  0.655
O  0.245  0.506  0.471
P  0.253  0.251  0.897
O  0.245  0.006  0.029
O  0.558  0.133  0.048
P  0.247  0.609  0.998
Ti  0.254  0.639  0.448
O  0.752  0.340  0.440
P  0.358  0.901  0.278
O  0.239  0.351  0.419
O  0.407  0.396  0.721
O  0.558  0.633  0.452
O  0.408  0.599  0.773
P  0.642  0.901  0.778
O  0.760  0.666  0.567
O  0.549  0.750  0.150
O  0.239  0.851  0.081
P  0.247  0.906  0.010
O  0.718  0.989  0.734